Entry 1:
This record from the Alexandria database describes an optimized crystal structure of LaHo5Er3. The functional is GGA-PBE.

Values from the calculation:
- Formation energy: 337 meV/atom
- Calculated volume: 1179.0 Å³/cell
- E: -4.28 eV/atom

Cell lengths 19.0993, 6.0203, 11.1111 Å; angles 90.00, 112.65, 90.00 degrees
With the nearest neighbours (Å) after each atom.
Space group C2/c (No. 15)
One atom of each set of equivalent atoms:
La1 0.0000 0.1467 0.2500 [4 per cell]  2 Ho 2.91-3.11, 4 Er 2.91-3.16
Ho1 0.0000 0.3698 0.7500 [4 per cell]  2 La 2.91-3.11
Ho2 0.1647 0.2562 0.6960 [8 per cell]  4 Er 3.34-3.59, 5 Ho 3.45-3.67
Ho3 0.1690 0.2635 0.0292 [8 per cell]  6 Ho 3.40-3.67, 4 Er 3.50-3.68
Er1 0.0000 0.0000 0.0000 [4 per cell]  2 La 2.91
Er2 0.1769 0.2277 0.3645 [8 per cell]  1 La 3.16, 1 Er 3.23, 3 Ho 3.34-3.51

=====

Entry 2:
This record from the Alexandria database describes an optimized crystal structure of La4Ho5Er3. The functional is GGA-PBE.

Values from the calculation:
- Formation energy: 227 meV/atom
- Calculated volume: 815.4 Å³/cell
- E: -4.46 eV/atom

Cell lengths 16.2681, 5.9739, 9.5206 Å; angles 90.00, 118.20, 90.00 degrees
With the nearest neighbours (Å) after each atom.
Space group C2/m (No. 12)
One atom of each set of equivalent atoms:
La1 0.0884 0.0000 0.4509 [4 per cell]  2 La 3.42-3.62, 5 Ho 3.47-3.74, 1 Er 3.52
La2 0.2170 0.0000 0.8821 [4 per cell]  3 Er 3.42-3.55, 3 La 3.58-3.62, 4 Ho 3.70-3.82
Ho1 0.0000 0.0000 0.0000 [2 per cell]  4 Er 2.99-3.20
Ho2 0.0676 0.5000 0.7080 [4 per cell]  2 Er 3.28-3.44, 2 Ho 3.51-3.54
Ho3 0.1687 0.5000 0.3743 [4 per cell]  4 Er 3.22-3.48, 3 La 3.47-3.49, 1 Ho 3.54
Er1 0.0000 0.5000 0.0000 [2 per cell]  4 Ho 2.99-3.31
Er2 0.2185 0.0000 0.2425 [4 per cell]  5 Ho 3.20-3.48, 4 La 3.42-3.55

=====

Entry 3:
This record from the Alexandria database describes an optimized crystal structure of LaHo3Er7. The functional is GGA-PBE.

Values from the calculation:
- Formation energy: 264 meV/atom
- Calculated volume: 713.0 Å³/cell
- E: -4.34 eV/atom

Cell lengths 5.7675, 11.1030, 11.1340 Å; angles 90.00, 90.00, 90.00 degrees
With the nearest neighbours (Å) after each atom.
Space group Immm (No. 71)
One atom of each set of equivalent atoms:
La1 0.0000 0.0000 0.0000 [2 per cell]  2 Er 2.88
Ho1 0.0000 0.0000 0.5000 [2 per cell]  4 Er 3.17
Ho2 0.0000 0.5000 0.2060 [4 per cell]  5 Er 3.23-3.40
Er1 0.0000 0.2111 0.3083 [8 per cell]  2 Ho 3.17-3.40, 2 Er 3.28
Er2 0.0000 0.2952 0.0000 [4 per cell]  2 Ho 3.23, 1 La 3.28, 6 Er 3.56-3.59
Er3 0.0000 0.5000 0.5000 [2 per cell]  2 La 2.88